Run 1
Material: GaAgTe3
Method: DFT, GGA-PBE
State: relaxed

Values from the calculation:
Space group ... C2/c, No. 15

a = 9.0786 Å, b = 9.0786 Å, c = 7.4722 Å
α = 98.10°, β = 98.10°, γ = 97.50°
With the nearest neighbours (Å) after each atom.
Fractional positions:
Ga  0.0037  0.9963  0.7500  4 Te 2.78-2.80
Ga  0.3336  0.6664  0.2500  4 Te 2.67-2.70
Ga  0.6664  0.3336  0.7500  4 Te 2.67-2.70
Ga  0.9963  0.0037  0.2500  4 Te 2.78-2.80
Ag  0.2142  0.5126  0.6942  4 Te 2.75-3.06
Ag  0.4874  0.7858  0.8058  4 Te 2.75-3.06
Ag  0.5126  0.2142  0.1942  4 Te 2.75-3.06
Ag  0.7858  0.4874  0.3058  4 Te 2.75-3.06
Te  0.0065  0.2317  0.0331  2 Ga 2.78-2.80, 2 Te 3.07-3.09
Te  0.0990  0.6715  0.4350  1 Ga 2.70, 1 Ag 2.75
Te  0.2317  0.0065  0.5331  2 Ga 2.78-2.80, 2 Te 3.07-3.09
Te  0.3149  0.4123  0.0134  1 Ga 2.67, 1 Ag 2.75
Te  0.3285  0.9010  0.0650  1 Ga 2.70, 1 Ag 2.75
Te  0.4123  0.3149  0.5134  1 Ga 2.67, 1 Ag 2.75
Te  0.5877  0.6851  0.4866  1 Ga 2.67, 1 Ag 2.75
Te  0.6715  0.0990  0.9350  1 Ga 2.70, 1 Ag 2.75
Te  0.6851  0.5877  0.9866  1 Ga 2.67, 1 Ag 2.75
Te  0.7683  0.9935  0.4669  2 Ga 2.78-2.80, 2 Te 3.07-3.09
Te  0.9010  0.3285  0.5650  1 Ga 2.70, 1 Ag 2.75
Te  0.9935  0.7683  0.9669  2 Ga 2.78-2.80, 2 Te 3.07-3.09

Run 2
Material: GaAgTe3
Method: DFT, GGA-PBE
State: relaxed

Values from the calculation:
Space group ... Pm-3m, No. 221

a = 5.4955 Å, b = 5.4955 Å, c = 5.4955 Å
α = 90.00°, β = 90.00°, γ = 90.00°
With the nearest neighbours (Å) after each atom.
Fractional positions:
Ga  0.0000  0.0000  0.0000  12 Te 3.89
Ag  0.5000  0.5000  0.5000  6 Te 2.75
Te  0.0000  0.5000  0.5000  2 Ag 2.75
Te  0.5000  0.0000  0.5000  2 Ag 2.75
Te  0.5000  0.5000  0.0000  2 Ag 2.75

Run 3
Material: GaAgTe3
Method: DFT, GGA-PBE
State: relaxed

Values from the calculation:
Space group ... Pm-3m, No. 221

a = 5.4092 Å, b = 5.4092 Å, c = 5.4092 Å
α = 90.00°, β = 90.00°, γ = 90.00°
With the nearest neighbours (Å) after each atom.
Fractional positions:
Ga  0.0000  0.0000  0.0000  6 Te 2.70
Ag  0.5000  0.5000  0.5000  12 Te 3.82
Te  0.0000  0.0000  0.5000  2 Ga 2.70
Te  0.0000  0.5000  0.0000  2 Ga 2.70
Te  0.5000  0.0000  0.0000  2 Ga 2.70

The structure with the greatest stability is run 1.

Run 1
Material: Ga2AgTe2
Method: DFT, GGA-PBE
State: relaxed

Values from the calculation:
Space group ... P4/mbm, No. 127

a = 8.1537 Å, b = 8.1537 Å, c = 4.0699 Å
α = 90.00°, β = 90.00°, γ = 90.00°
With the nearest neighbours (Å) after each atom.
Fractional positions:
Ga  0.1157  0.3843  0.0000  1 Ga 2.67, 2 Te 2.85
Ga  0.3843  0.8843  0.0000  1 Ga 2.67, 2 Te 2.85
Ga  0.6157  0.1157  0.0000  1 Ga 2.67, 2 Te 2.85
Ga  0.8843  0.6157  0.0000  1 Ga 2.67, 2 Te 2.85
Ag  0.0000  0.0000  0.5000  4 Te 2.92
Ag  0.5000  0.5000  0.5000  4 Te 2.92
Te  0.2108  0.7108  0.5000  2 Ga 2.85, 2 Ag 2.92
Te  0.2892  0.2108  0.5000  2 Ga 2.85, 2 Ag 2.92
Te  0.7108  0.7892  0.5000  2 Ga 2.85, 2 Ag 2.92
Te  0.7892  0.2892  0.5000  2 Ga 2.85, 2 Ag 2.92

Run 2
Material: Ga2AgTe2
Method: DFT, GGA-PBE
State: relaxed

Values from the calculation:
Space group ... P4/mbm, No. 127

a = 7.8232 Å, b = 7.8232 Å, c = 3.9405 Å
α = 90.00°, β = 90.00°, γ = 90.00°
With the nearest neighbours (Å) after each atom.
Fractional positions:
Ga  0.1363  0.3637  0.0000  6 Te 2.89-3.13, 1 Ga 3.02, 2 Ag 3.04
Ga  0.3637  0.8637  0.0000  6 Te 2.89-3.13, 1 Ga 3.02, 2 Ag 3.04
Ga  0.6363  0.1363  0.0000  6 Te 2.89-3.13, 1 Ga 3.02, 2 Ag 3.04
Ga  0.8637  0.6363  0.0000  6 Te 2.89-3.13, 1 Ga 3.02, 2 Ag 3.04
Ag  0.0000  0.0000  0.0000  4 Ga 3.04
Ag  0.5000  0.5000  0.0000  4 Ga 3.04
Te  0.1730  0.6730  0.5000  6 Ga 2.89-3.13
Te  0.3270  0.1730  0.5000  6 Ga 2.89-3.13
Te  0.6730  0.8270  0.5000  6 Ga 2.89-3.13
Te  0.8270  0.3270  0.5000  6 Ga 2.89-3.13

Run 3
Material: Ga2AgTe2
Method: DFT, GGA-PBE
State: relaxed

Values from the calculation:
Space group ... I4/mmm, No. 139

a = 5.5294 Å, b = 5.5294 Å, c = 8.2303 Å
α = 90.00°, β = 90.00°, γ = 90.00°
With the nearest neighbours (Å) after each atom.
Fractional positions:
Ga  0.0000  0.0000  0.1552  1 Ga 2.55, 1 Ag 2.84
Ga  0.0000  0.0000  0.8448  1 Ga 2.55, 1 Ag 2.84
Ga  0.5000  0.5000  0.3448  1 Ga 2.55, 1 Ag 2.84
Ga  0.5000  0.5000  0.6552  1 Ga 2.55, 1 Ag 2.84
Ag  0.0000  0.0000  0.5000  2 Ga 2.84
Ag  0.5000  0.5000  0.0000  2 Ga 2.84
Te  0.0000  0.5000  0.2500  4 Ga 2.87
Te  0.0000  0.5000  0.7500  4 Ga 2.87
Te  0.5000  0.0000  0.2500  4 Ga 2.87
Te  0.5000  0.0000  0.7500  4 Ga 2.87

The structure with the greatest stability is run 3.

Run 1
Material: GaAg2Te
Method: DFT, GGA-PBE
State: relaxed

Values from the calculation:
Space group ... Fm-3m, No. 225

a = 7.0591 Å, b = 7.0591 Å, c = 7.0591 Å
α = 90.00°, β = 90.00°, γ = 90.00°
With the nearest neighbours (Å) after each atom.
Fractional positions:
Ga  0.0000  0.0000  0.0000  8 Ag 3.06
Ga  0.0000  0.5000  0.5000  8 Ag 3.06
Ga  0.5000  0.0000  0.5000  8 Ag 3.06
Ga  0.5000  0.5000  0.0000  8 Ag 3.06
Ag  0.2500  0.2500  0.2500  4 Ga 3.06, 4 Te 3.06
Ag  0.2500  0.2500  0.7500  4 Te 3.06, 4 Ga 3.06
Ag  0.2500  0.7500  0.2500  4 Te 3.06, 4 Ga 3.06
Ag  0.2500  0.7500  0.7500  4 Ga 3.06, 4 Te 3.06
Ag  0.7500  0.2500  0.2500  4 Te 3.06, 4 Ga 3.06
Ag  0.7500  0.2500  0.7500  4 Ga 3.06, 4 Te 3.06
Ag  0.7500  0.7500  0.2500  4 Ga 3.06, 4 Te 3.06
Ag  0.7500  0.7500  0.7500  4 Te 3.06, 4 Ga 3.06
Te  0.0000  0.0000  0.5000  8 Ag 3.06
Te  0.0000  0.5000  0.0000  8 Ag 3.06
Te  0.5000  0.0000  0.0000  8 Ag 3.06
Te  0.5000  0.5000  0.5000  8 Ag 3.06

Run 2
Material: GaAg2Te
Method: DFT, GGA-PBE
State: relaxed

Values from the calculation:
Space group ... I-42d, No. 122

a = 4.6451 Å, b = 4.6451 Å, c = 17.6387 Å
α = 90.00°, β = 90.00°, γ = 90.00°
With the nearest neighbours (Å) after each atom.
Fractional positions:
Ga  0.0000  0.0000  0.0000  4 Ag 2.65
Ga  0.0000  0.5000  0.2500  4 Ag 2.65
Ga  0.5000  0.0000  0.7500  4 Ag 2.65
Ga  0.5000  0.5000  0.5000  4 Ag 2.65
Ag  0.1969  0.2500  0.1250  2 Ga 2.65, 2 Te 2.86, 2 Ag 2.96
Ag  0.2500  0.6969  0.3750  2 Ga 2.65, 2 Te 2.86, 2 Ag 2.96
Ag  0.2500  0.8031  0.8750  2 Ga 2.65, 2 Te 2.86, 2 Ag 2.96
Ag  0.3031  0.2500  0.6250  2 Ga 2.65, 2 Te 2.86, 2 Ag 2.96
Ag  0.6969  0.7500  0.6250  2 Ga 2.65, 2 Te 2.86, 2 Ag 2.96
Ag  0.7500  0.1969  0.8750  2 Ga 2.65, 2 Te 2.86, 2 Ag 2.96
Ag  0.7500  0.3031  0.3750  2 Ga 2.65, 2 Te 2.86, 2 Ag 2.96
Ag  0.8031  0.7500  0.1250  2 Ga 2.65, 2 Te 2.86, 2 Ag 2.96
Te  0.0000  0.0000  0.5000  4 Ag 2.86
Te  0.0000  0.5000  0.7500  4 Ag 2.86
Te  0.5000  0.0000  0.2500  4 Ag 2.86
Te  0.5000  0.5000  0.0000  4 Ag 2.86

The structure with the greatest stability is run 2.

Run 1
Material: Ti3GaAg
Method: DFT, GGA-PBE
State: relaxed

Values from the calculation:
Space group ... Pm-3m, No. 221

a = 4.8266 Å, b = 4.8266 Å, c = 4.8266 Å
α = 90.00°, β = 90.00°, γ = 90.00°
With the nearest neighbours (Å) after each atom.
Fractional positions:
Ti  0.0000  0.0000  0.5000  2 Ag 2.41
Ti  0.0000  0.5000  0.0000  2 Ag 2.41
Ti  0.5000  0.0000  0.0000  2 Ag 2.41
Ga  0.5000  0.5000  0.5000  12 Ti 3.41
Ag  0.0000  0.0000  0.0000  6 Ti 2.41

Run 2
Material: Ti3GaAg
Method: DFT, GGA-PBE
State: relaxed

Values from the calculation:
Space group ... Pm-3m, No. 221

a = 4.7136 Å, b = 4.7136 Å, c = 4.7136 Å
α = 90.00°, β = 90.00°, γ = 90.00°
With the nearest neighbours (Å) after each atom.
Fractional positions:
Ti  0.0000  0.0000  0.5000  2 Ga 2.36
Ti  0.0000  0.5000  0.0000  2 Ga 2.36
Ti  0.5000  0.0000  0.0000  2 Ga 2.36
Ga  0.0000  0.0000  0.0000  6 Ti 2.36
Ag  0.5000  0.5000  0.5000  12 Ti 3.33

The structure with the greatest stability is run 2.

Run 1
Material: Ti2Ga2Ag
Method: DFT, GGA-PBE
State: relaxed

Values from the calculation:
Space group ... P4/mbm, No. 127

a = 7.8400 Å, b = 7.8400 Å, c = 2.8532 Å
α = 90.00°, β = 90.00°, γ = 90.00°
With the nearest neighbours (Å) after each atom.
Fractional positions:
Ti  0.1209  0.3791  0.0000  6 Ga 2.63-2.79, 3 Ti 2.68-2.85
Ti  0.3791  0.8791  0.0000  6 Ga 2.63-2.79, 3 Ti 2.68-2.85
Ti  0.6209  0.1209  0.0000  6 Ga 2.63-2.79, 3 Ti 2.68-2.85
Ti  0.8791  0.6209  0.0000  6 Ga 2.63-2.79, 3 Ti 2.68-2.85
Ga  0.1794  0.6794  0.5000  6 Ti 2.63-2.79, 2 Ga 2.85
Ga  0.3206  0.1794  0.5000  6 Ti 2.63-2.79, 2 Ga 2.85
Ga  0.6794  0.8206  0.5000  6 Ti 2.63-2.79, 2 Ga 2.85
Ga  0.8206  0.3206  0.5000  6 Ti 2.63-2.79, 2 Ga 2.85
Ag  0.0000  0.0000  0.0000  2 Ag 2.85, 4 Ti 3.12
Ag  0.5000  0.5000  0.0000  2 Ag 2.85, 4 Ti 3.12

Run 2
Material: Ti2Ga2Ag
Method: DFT, GGA-PBE
State: relaxed

Values from the calculation:
Space group ... P4/mbm, No. 127

a = 6.8567 Å, b = 6.8567 Å, c = 3.5372 Å
α = 90.00°, β = 90.00°, γ = 90.00°
With the nearest neighbours (Å) after each atom.
Fractional positions:
Ti  0.1729  0.3271  0.0000  6 Ga 2.62-2.74
Ti  0.3271  0.8271  0.0000  6 Ga 2.62-2.74
Ti  0.6729  0.1729  0.0000  6 Ga 2.62-2.74
Ti  0.8271  0.6729  0.0000  6 Ga 2.62-2.74
Ga  0.1283  0.6283  0.5000  1 Ga 2.49, 6 Ti 2.62-2.74, 2 Ag 2.70
Ga  0.3717  0.1283  0.5000  1 Ga 2.49, 6 Ti 2.62-2.74, 2 Ag 2.70
Ga  0.6283  0.8717  0.5000  1 Ga 2.49, 6 Ti 2.62-2.74, 2 Ag 2.70
Ga  0.8717  0.3717  0.5000  1 Ga 2.49, 6 Ti 2.62-2.74, 2 Ag 2.70
Ag  0.0000  0.0000  0.5000  4 Ga 2.70
Ag  0.5000  0.5000  0.5000  4 Ga 2.70

The structure with the greatest stability is run 2.